Crystalline Pm5AsSe4 at its relaxed geometry, computed with PBE-GGA.

Unit cell a=15.176 b=15.176 c=15.176 alpha=164.08 beta=164.08 gamma=22.59
Element x y z (fractional)
Pm (0.000, 0.000, 0.000)
Pm (0.202, 0.202, 0.000)
Pm (0.402, 0.402, 0.000)
Pm (0.598, 0.598, 0.000)
Pm (0.798, 0.798, 0.000)
As (0.500, 0.500, 0.000)
Se (0.101, 0.101, 0.000)
Se (0.301, 0.301, 0.000)
Se (0.699, 0.699, 0.000)
Se (0.899, 0.899, 0.000)

Results
As for the formation energy from raw total energies: -1.80 eV/atom. The calculation puts the total magnetization at 0.0 μB per formula unit. The symmetry is I4/mmm.

***

Crystalline NaLiCd2Hg4 at its relaxed geometry, computed with PBE-GGA.

Unit cell a=8.754 b=8.754 c=8.754 alpha=33.43 beta=33.43 gamma=33.43
Element x y z (fractional)
Na (0.000, 0.000, 0.000)
Li (0.500, 0.500, 0.500)
Cd (0.252, 0.252, 0.252)
Cd (0.748, 0.748, 0.748)
Hg (0.129, 0.129, 0.129)
Hg (0.381, 0.381, 0.381)
Hg (0.619, 0.619, 0.619)
Hg (0.871, 0.871, 0.871)

Results
Its formation energy is -0.1880 eV/atom. The calculation puts the total magnetization at 0.0 μB per formula unit. The symmetry is R-3m.

***

Crystalline Dy6TlCd2 at its relaxed geometry, computed with PBE-GGA.

Unit cell a=8.811 b=8.811 c=8.811 alpha=110.96 beta=109.16 gamma=108.30
Element x y z (fractional)
Dy (0.050, 0.227, 0.823)
Dy (0.251, 0.299, 0.550)
Dy (0.251, 0.701, 0.952)
Dy (0.266, 0.587, 0.321)
Dy (0.266, 0.945, 0.679)
Dy (0.404, 0.227, 0.177)
Dy (0.596, 0.773, 0.823)
Dy (0.734, 0.055, 0.321)
Dy (0.734, 0.413, 0.679)
Dy (0.749, 0.299, 0.048)
Dy (0.749, 0.701, 0.450)
Dy (0.950, 0.773, 0.177)
Tl (0.000, 0.500, 0.500)
Tl (0.500, 0.500, 0.000)
Cd (0.000, 0.142, 0.142)
Cd (0.000, 0.858, 0.858)
Cd (0.364, 0.000, 0.364)
Cd (0.636, 0.000, 0.636)

Results
Its formation energy is -0.1602 eV/atom. The calculation puts the total magnetization at 0.0 μB per formula unit. The symmetry is Immm.

***

Question: Number 2 is which compound?
Answer: NaLiCd2Hg4

***

Question: What is the formula in the third record?
Answer: Dy6TlCd2

***

Question: What is the total magnetization in the first record?
Answer: 0.0 μB per formula unit

***

Question: Look up the total magnetization of the third one.
Answer: 0.0 μB per formula unit